Arrangement a

This record from the Alexandria database describes a relaxed Sr2Zr2Si crystal. The functional is PBE-GGA.

a = 3.897 Å, b = 3.897 Å, c = 11.040 Å
α = 79.83°, β = 79.83°, γ = 90.00°
Fractional coordinates of all 5 atoms:
Sr 0.411 0.411 0.178
Sr 0.589 0.589 0.822
Si 0.000 0.000 0.000
Zr 0.750 0.250 0.500
Zr 0.250 0.750 0.500

Output
- calculated volume (Å³ per atom) = 32.47
- mass density (g/cm3) = 3.9
- crystal system = tetragonal
- density of states at the Fermi level (states/eV per cell) = 5.67

Arrangement b

This record from the Alexandria database describes a relaxed Sr2Zr2Si crystal. The functional is PBE-GGA.

a = 7.980 Å, b = 7.980 Å, c = 4.901 Å
α = 90.00°, β = 90.00°, γ = 90.00°
Fractional coordinates of all 10 atoms:
Sr 0.339 0.839 0.000
Sr 0.839 0.661 0.000
Sr 0.661 0.161 0.000
Sr 0.161 0.339 0.000
Si 0.000 0.000 0.000
Si 0.500 0.500 0.000
Zr 0.134 0.634 0.500
Zr 0.634 0.866 0.500
Zr 0.866 0.366 0.500
Zr 0.366 0.134 0.500

Output
- calculated volume (Å³ per atom) = 31.21
- mass density (g/cm3) = 4.1
- crystal system = tetragonal
- density of states at the Fermi level (states/eV per cell) = 13.00

So which one wins? Going from most stable to least: arrangement a, arrangement b.

Arrangement a

This record from the Alexandria database describes a relaxed Ta4Si crystal. The functional is PBE-GGA.

a = 7.577 Å, b = 7.577 Å, c = 7.577 Å
α = 151.82°, β = 151.82°, γ = 40.27°
Fractional coordinates of all 5 atoms:
Ta 0.750 0.250 0.500
Ta 0.250 0.750 0.500
Ta 0.590 0.590 0.000
Ta 0.410 0.410 0.000
Si 0.000 0.000 0.000

Output
- calculated volume (Å³ per atom) = 19.36
- mass density (g/cm3) = 12.9
- crystal system = tetragonal
- density of states at the Fermi level (states/eV per cell) = 4.68

Arrangement b

This record from the Alexandria database describes a relaxed Ta4Si crystal. The functional is PBE-GGA.

a = 4.627 Å, b = 4.627 Å, c = 4.627 Å
α = 90.00°, β = 90.00°, γ = 90.00°
Fractional coordinates of all 5 atoms:
Si 0.500 0.500 0.500
Ta 0.000 0.000 0.000
Ta 0.500 0.000 0.500
Ta 0.000 0.500 0.500
Ta 0.500 0.500 0.000

Output
- calculated volume (Å³ per atom) = 19.81
- mass density (g/cm3) = 12.6
- crystal system = cubic
- density of states at the Fermi level (states/eV per cell) = 6.16

So which one wins? Going from most stable to least: arrangement b, arrangement a.

Arrangement a

This record from the Alexandria database describes a relaxed Ta4Si crystal. The functional is PBE-GGA.

a = 5.081 Å, b = 5.081 Å, c = 5.081 Å
α = 109.47°, β = 109.47°, γ = 109.47°
Fractional coordinates of all 5 atoms:
Ta 0.500 0.000 0.000
Ta 0.500 0.500 0.500
Ta 0.000 0.500 0.000
Ta 0.000 0.000 0.500
Si 0.000 0.000 0.000

Output
- calculated volume (Å³ per atom) = 20.20
- mass density (g/cm3) = 12.4
- crystal system = cubic
- density of states at the Fermi level (states/eV per cell) = 5.55

Arrangement b

This record from the Alexandria database describes a relaxed Ta4Si crystal. The functional is PBE-GGA.

a = 5.311 Å, b = 5.311 Å, c = 5.311 Å
α = 96.10°, β = 96.10°, γ = 141.96°
Fractional coordinates of all 5 atoms:
Ta 0.204 0.594 0.798
Ta 0.594 0.796 0.390
Ta 0.796 0.406 0.202
Ta 0.406 0.204 0.610
Si 0.000 0.000 0.000

Output
- calculated volume (Å³ per atom) = 17.45
- mass density (g/cm3) = 14.3
- crystal system = tetragonal
- density of states at the Fermi level (states/eV per cell) = 4.43

So which one wins? Going from most stable to least: arrangement b, arrangement a.

Arrangement a

This record from the Alexandria database describes a relaxed Ta2Si3 crystal. The functional is PBE-GGA.

a = 7.683 Å, b = 6.630 Å, c = 5.370 Å
α = 78.86°, β = 57.84°, γ = 43.29°
Fractional coordinates of all 10 atoms:
Ta 0.244 0.858 0.407
Ta 0.491 0.407 0.858
Ta 0.392 0.006 0.759
Ta 0.843 0.759 0.006
Si 0.800 0.422 0.321
Si 0.456 0.321 0.422
Si 0.828 0.450 0.794
Si 0.929 0.794 0.450
Si 0.009 0.991 0.991
Si 0.259 0.241 0.241

Output
- calculated volume (Å³ per atom) = 14.96
- mass density (g/cm3) = 9.9
- crystal system = orthorhombic
- density of states at the Fermi level (states/eV per cell) = 4.36

Arrangement b

This record from the Alexandria database describes a relaxed Ta2Si3 crystal. The functional is PBE-GGA.

a = 4.486 Å, b = 4.486 Å, c = 5.192 Å
α = 90.00°, β = 90.00°, γ = 120.00°
Fractional coordinates of all 5 atoms:
Ta 0.667 0.333 0.113
Ta 0.333 0.667 0.887
Si 0.000 0.000 0.000
Si 0.667 0.333 0.612
Si 0.333 0.667 0.388

Output
- calculated volume (Å³ per atom) = 18.09
- mass density (g/cm3) = 8.2
- crystal system = trigonal
- density of states at the Fermi level (states/eV per cell) = 2.50

Arrangement c

This record from the Alexandria database describes a relaxed Ta2Si3 crystal. The functional is PBE-GGA.

a = 10.552 Å, b = 10.552 Å, c = 10.552 Å
α = 16.05°, β = 16.05°, γ = 16.05°
Fractional coordinates of all 5 atoms:
Ta 0.402 0.402 0.402
Ta 0.598 0.598 0.598
Si 0.000 0.000 0.000
Si 0.803 0.803 0.803
Si 0.197 0.197 0.197

Output
- calculated volume (Å³ per atom) = 15.65
- mass density (g/cm3) = 9.5
- crystal system = trigonal
- density of states at the Fermi level (states/eV per cell) = 1.96

So which one wins? Going from most stable to least: arrangement a, arrangement c, arrangement b.

Arrangement a

This record from the Alexandria database describes a relaxed Ta5Si3 crystal. The functional is PBE-GGA.

a = 7.521 Å, b = 7.521 Å, c = 7.523 Å
α = 96.65°, β = 96.65°, γ = 140.18°
Fractional coordinates of all 16 atoms:
Si 0.750 0.750 0.000
Si 0.250 0.250 0.000
Si 0.334 0.166 0.500
Si 0.665 0.834 0.500
Si 0.165 0.665 0.831
Si 0.834 0.335 0.169
Ta 0.249 0.750 0.500
Ta 0.750 0.250 0.500
Ta 0.780 0.075 0.855
Ta 0.219 0.925 0.145
Ta 0.719 0.574 0.295
Ta 0.280 0.426 0.705
Ta 0.574 0.280 0.855
Ta 0.425 0.720 0.145
Ta 0.074 0.219 0.295
Ta 0.925 0.781 0.705

Output
- calculated volume (Å³ per atom) = 16.02
- mass density (g/cm3) = 12.8
- crystal system = tetragonal
- density of states at the Fermi level (states/eV per cell) = 9.42

Arrangement b

This record from the Alexandria database describes a relaxed Ta5Si3 crystal. The functional is PBE-GGA.

a = 7.526 Å, b = 7.526 Å, c = 5.270 Å
α = 90.00°, β = 90.00°, γ = 120.00°
Fractional coordinates of all 16 atoms:
Ta 0.000 0.755 0.750
Ta 0.000 0.245 0.250
Ta 0.755 0.755 0.250
Ta 0.755 0.000 0.750
Ta 0.245 0.245 0.750
Ta 0.245 0.000 0.250
Ta 0.333 0.667 0.500
Ta 0.667 0.333 0.000
Ta 0.667 0.333 0.500
Ta 0.333 0.667 0.000
Si 0.395 0.000 0.750
Si 0.395 0.395 0.250
Si 0.000 0.605 0.250
Si 0.000 0.395 0.750
Si 0.605 0.605 0.750
Si 0.605 0.000 0.250

Output
- calculated volume (Å³ per atom) = 16.16
- mass density (g/cm3) = 12.7
- crystal system = hexagonal
- density of states at the Fermi level (states/eV per cell) = 15.06

Arrangement c

This record from the Alexandria database describes a relaxed Ta5Si3 crystal. The functional is PBE-GGA.

a = 5.950 Å, b = 5.950 Å, c = 3.737 Å
α = 90.00°, β = 90.00°, γ = 97.43°
Fractional coordinates of all 8 atoms:
Ta 0.000 0.000 0.000
Ta 0.000 0.500 0.000
Ta 0.500 0.000 0.000
Ta 0.278 0.278 0.500
Ta 0.722 0.722 0.500
Si 0.500 0.500 0.000
Si 0.780 0.220 0.500
Si 0.220 0.780 0.500

Output
- calculated volume (Å³ per atom) = 16.40
- mass density (g/cm3) = 12.5
- crystal system = orthorhombic
- density of states at the Fermi level (states/eV per cell) = 4.46

Arrangement d

This record from the Alexandria database describes a relaxed Ta5Si3 crystal. The functional is PBE-GGA.

a = 7.559 Å, b = 7.559 Å, c = 7.559 Å
α = 128.64°, β = 128.64°, γ = 75.59°
Fractional coordinates of all 16 atoms:
Si 0.750 0.750 0.000
Si 0.250 0.250 0.000
Si 0.370 0.870 0.240
Si 0.630 0.130 0.760
Si 0.130 0.370 0.500
Si 0.870 0.630 0.500
Ta 0.000 0.000 0.000
Ta 0.500 0.500 0.000
Ta 0.014 0.514 0.829
Ta 0.685 0.185 0.171
Ta 0.185 0.014 0.500
Ta 0.514 0.685 0.500
Ta 0.486 0.315 0.500
Ta 0.815 0.986 0.500
Ta 0.315 0.815 0.829
Ta 0.986 0.486 0.171

Output
- calculated volume (Å³ per atom) = 16.03
- mass density (g/cm3) = 12.8
- crystal system = tetragonal
- density of states at the Fermi level (states/eV per cell) = 3.43

So which one wins? Going from most stable to least: arrangement d, arrangement a, arrangement b, arrangement c.

Arrangement a

This record from the Alexandria database describes a relaxed Ta4Si5 crystal. The functional is PBE-GGA.

a = 6.452 Å, b = 6.452 Å, c = 6.452 Å
α = 94.65°, β = 94.65°, γ = 146.92°
Fractional coordinates of all 9 atoms:
Ta 0.704 0.000 0.704
Ta 0.296 0.000 0.296
Ta 0.000 0.296 0.296
Ta 0.000 0.704 0.704
Si 0.000 0.000 0.000
Si 0.682 0.318 0.000
Si 0.318 0.682 0.000
Si 0.318 0.318 0.636
Si 0.682 0.682 0.364

Output
- calculated volume (Å³ per atom) = 15.62
- mass density (g/cm3) = 10.2
- crystal system = tetragonal
- density of states at the Fermi level (states/eV per cell) = 2.65

Arrangement b

This record from the Alexandria database describes a relaxed Ta4Si5 crystal. The functional is PBE-GGA.

a = 7.927 Å, b = 7.927 Å, c = 5.202 Å
α = 90.00°, β = 90.00°, γ = 120.00°
Fractional coordinates of all 18 atoms:
Si 0.000 0.708 0.250
Si 0.292 0.292 0.250
Si 0.708 0.000 0.250
Si 0.000 0.292 0.750
Si 0.708 0.708 0.750
Si 0.292 0.000 0.750
Si 0.667 0.333 0.000
Si 0.333 0.667 0.500
Si 0.333 0.667 0.000
Si 0.667 0.333 0.500
Ta 0.000 0.000 0.000
Ta 0.000 0.000 0.500
Ta 0.000 0.375 0.250
Ta 0.625 0.625 0.250
Ta 0.375 0.000 0.250
Ta 0.000 0.625 0.750
Ta 0.375 0.375 0.750
Ta 0.625 0.000 0.750

Output
- calculated volume (Å³ per atom) = 15.73
- mass density (g/cm3) = 10.1
- crystal system = hexagonal
- density of states at the Fermi level (states/eV per cell) = 13.69

So which one wins? Going from most stable to least: arrangement a, arrangement b.

Arrangement a

This record from the Alexandria database describes a relaxed Ta3SiTc crystal. The functional is PBE-GGA.

a = 4.588 Å, b = 4.588 Å, c = 4.588 Å
α = 90.00°, β = 90.00°, γ = 90.00°
Each line ends with the local moment (μB).
Fractional coordinates of all 5 atoms:
Si 0.000 0.000 0.000  0.01
Tc 0.500 0.500 0.500  0.91
Ta 0.000 0.500 0.000  -0.10
Ta 0.000 0.000 0.500  -0.10
Ta 0.500 0.000 0.000  -0.10

Output
- calculated volume (Å³ per atom) = 19.31
- mass density (g/cm3) = 11.5
- crystal system = cubic
- density of states at the Fermi level (states/eV per cell) = 4.76

Arrangement b

This record from the Alexandria database describes a relaxed Ta3SiTc crystal. The functional is PBE-GGA.

a = 4.772 Å, b = 4.772 Å, c = 4.772 Å
α = 90.00°, β = 90.00°, γ = 90.00°
Fractional coordinates of all 5 atoms:
Si 0.500 0.500 0.500
Tc 0.000 0.000 0.000
Ta 0.000 0.500 0.000
Ta 0.000 0.000 0.500
Ta 0.500 0.000 0.000

Output
- calculated volume (Å³ per atom) = 21.74
- mass density (g/cm3) = 10.2
- crystal system = cubic
- density of states at the Fermi level (states/eV per cell) = 2.36

So which one wins? Going from most stable to least: arrangement a, arrangement b.

Arrangement a

This record from the Alexandria database describes a relaxed TaSiTc crystal. The functional is PBE-GGA.

a = 4.278 Å, b = 4.278 Å, c = 2.923 Å
α = 90.00°, β = 90.00°, γ = 120.00°
Fractional coordinates of all 3 atoms:
Si 0.000 0.000 0.838
Ta 0.667 0.333 0.375
Tc 0.333 0.667 0.787

Output
- calculated volume (Å³ per atom) = 15.45
- mass density (g/cm3) = 11.0
- crystal system = trigonal
- density of states at the Fermi level (states/eV per cell) = 2.52

Arrangement b

This record from the Alexandria database describes a relaxed TaSiTc crystal. The functional is PBE-GGA.

a = 6.417 Å, b = 6.211 Å, c = 2.844 Å
α = 81.08°, β = 72.96°, γ = 25.96°
Fractional coordinates of all 3 atoms:
Si 0.005 0.005 0.995
Ta 0.339 0.339 0.661
Tc 0.656 0.656 0.344

Output
- calculated volume (Å³ per atom) = 15.27
- mass density (g/cm3) = 11.1
- crystal system = orthorhombic
- density of states at the Fermi level (states/eV per cell) = 2.17

Arrangement c

This record from the Alexandria database describes a relaxed TaSiTc crystal. The functional is PBE-GGA.

a = 4.222 Å, b = 4.222 Å, c = 4.222 Å
α = 60.00°, β = 60.00°, γ = 60.00°
Fractional coordinates of all 3 atoms:
Si 0.000 0.000 0.000
Ta 0.500 0.500 0.500
Tc 0.750 0.750 0.750

Output
- calculated volume (Å³ per atom) = 17.74
- mass density (g/cm3) = 9.6
- crystal system = cubic
- density of states at the Fermi level (states/eV per cell) = 4.00

Arrangement d

This record from the Alexandria database describes a relaxed TaSiTc crystal. The functional is PBE-GGA.

a = 6.691 Å, b = 6.999 Å, c = 7.533 Å
α = 117.68°, β = 116.36°, γ = 90.00°
Fractional coordinates of all 18 atoms:
Ta 0.751 0.036 0.572
Ta 0.179 0.964 0.428
Ta 0.345 0.753 0.006
Ta 0.339 0.247 0.994
Ta 0.154 0.446 0.392
Ta 0.762 0.554 0.608
Si 0.716 0.225 0.950
Si 0.767 0.775 0.050
Si 0.424 0.172 0.336
Si 0.089 0.828 0.664
Si 0.089 0.337 0.664
Si 0.424 0.663 0.336
Tc 0.005 0.000 0.000
Tc 0.005 0.500 0.000
Tc 0.501 0.406 0.747
Tc 0.755 0.594 0.253
Tc 0.755 0.159 0.253
Tc 0.501 0.841 0.747

Output
- calculated volume (Å³ per atom) = 15.02
- mass density (g/cm3) = 11.3
- crystal system = orthorhombic
- density of states at the Fermi level (states/eV per cell) = 9.16

So which one wins? Going from most stable to least: arrangement d, arrangement a, arrangement b, arrangement c.

Arrangement a

This record from the Alexandria database describes a relaxed Ta2SiTc2 crystal. The functional is PBE-GGA.

a = 7.229 Å, b = 7.229 Å, c = 3.207 Å
α = 90.00°, β = 90.00°, γ = 90.00°
Fractional coordinates of all 10 atoms:
Si 0.000 0.000 0.000
Si 0.500 0.500 0.000
Tc 0.359 0.859 0.000
Tc 0.859 0.641 0.000
Tc 0.641 0.141 0.000
Tc 0.141 0.359 0.000
Ta 0.161 0.661 0.500
Ta 0.661 0.839 0.500
Ta 0.839 0.339 0.500
Ta 0.339 0.161 0.500

Output
- calculated volume (Å³ per atom) = 16.76
- mass density (g/cm3) = 11.6
- crystal system = tetragonal
- density of states at the Fermi level (states/eV per cell) = 14.27

Arrangement b

This record from the Alexandria database describes a relaxed Ta2SiTc2 crystal. The functional is PBE-GGA.

a = 4.181 Å, b = 4.181 Å, c = 6.221 Å
α = 70.36°, β = 70.36°, γ = 90.00°
Fractional coordinates of all 5 atoms:
Si 0.000 0.000 0.000
Tc 0.389 0.389 0.223
Tc 0.611 0.611 0.777
Ta 0.750 0.250 0.500
Ta 0.250 0.750 0.500

Output
- calculated volume (Å³ per atom) = 19.14
- mass density (g/cm3) = 10.2
- crystal system = tetragonal
- density of states at the Fermi level (states/eV per cell) = 2.84

So which one wins? Going from most stable to least: arrangement a, arrangement b.